NdEr3Al2: optimized geometry, PBE.

Cell lengths 3.5361, 3.5361, 12.5734 Å; angles 90.00, 90.00, 90.00 degrees
Last column: nearest neighbours and their distance in Å.
Element x y z (fractional)
Nd: 0.0000 0.0000 0.0000  4 Nd 3.54, 8 Er 3.62
Er: 0.5000 0.5000 0.2079  4 Al 3.10
Er: 0.5000 0.5000 0.5000  8 Al 3.11
Er: 0.5000 0.5000 0.7921  4 Al 3.10
Al: 0.0000 0.0000 0.3530  8 Er 3.10-3.11
Al: 0.0000 0.0000 0.6470  8 Er 3.10-3.11

Output
Energy above the lowest structure with this stoichiometry = 0.0 meV/atom
Space-group type = P4/mmm, No. 123
DOS(E_F) = 5.3 states/eV/f.u.
Energy of formation from the pure elements = -0.26 eV per atom
Theoretical density = 7.39 g/cm³

Tl2IrSe: optimized geometry, PBE.

Cell lengths 4.3828, 4.3828, 9.1381 Å; angles 90.00, 90.00, 90.00 degrees
Last column: nearest neighbours and their distance in Å.
Element x y z (fractional)
Tl: 0.0000 0.5000 0.2500  4 Tl 3.10, 4 Se 3.17, 4 Ir 3.17
Tl: 0.0000 0.5000 0.7500  4 Tl 3.10, 4 Se 3.17, 4 Ir 3.17
Tl: 0.5000 0.0000 0.2500  4 Tl 3.10, 4 Se 3.17, 4 Ir 3.17
Tl: 0.5000 0.0000 0.7500  4 Tl 3.10, 4 Se 3.17, 4 Ir 3.17
Ir: 0.0000 0.0000 0.0000  4 Se 3.10, 8 Tl 3.17
Ir: 0.5000 0.5000 0.5000  4 Se 3.10, 8 Tl 3.17
Se: 0.0000 0.0000 0.5000  4 Ir 3.10, 8 Tl 3.17
Se: 0.5000 0.5000 0.0000  4 Ir 3.10, 8 Tl 3.17

Output
Uncorrected formation energy = 0.5998 eV/atom
Energy above the lowest structure with this stoichiometry = 538.8 meV/atom
Space-group type = I4/mmm, No. 139
DOS(E_F) = 3.5 states/eV/f.u.
Theoretical density = 12.86 g/cm³

ZnOF3: optimized geometry, PBE.

Cell lengths 3.8414, 3.8414, 3.8414 Å; angles 90.00, 90.00, 90.00 degrees
Last column: nearest neighbours and their distance in Å.
Element x y z (fractional)
Zn: 0.0000 0.0000 0.0000  12 F 2.72
O: 0.5000 0.5000 0.5000  6 F 1.92
F: 0.0000 0.5000 0.5000  2 O 1.92
F: 0.5000 0.0000 0.5000  2 O 1.92
F: 0.5000 0.5000 0.0000  2 O 1.92

Output
Uncorrected formation energy = -0.1490 eV/atom
Energy above the lowest structure with this stoichiometry = 1201.4 meV/atom
Space-group type = Pm-3m, No. 221
DOS(E_F) = 1.4 states/eV/f.u.
Theoretical density = 4.05 g/cm³

Tb3Zn2Pt: optimized geometry, PBE.

Cell lengths 5.0123, 5.0123, 6.1821 Å; angles 90.00, 90.00, 120.00 degrees
Last column: nearest neighbours and their distance in Å.
Element x y z (fractional)
Tb: 0.0000 0.0000 0.0000  6 Zn 3.03, 2 Pt 3.09
Tb: 0.3333 0.6667 0.6547  5 Zn 3.02-3.16, 3 Pt 3.05
Tb: 0.6667 0.3333 0.3453  5 Zn 3.02-3.16, 3 Pt 3.05
Zn: 0.3333 0.6667 0.1432  8 Tb 3.02-3.16
Zn: 0.6667 0.3333 0.8568  8 Tb 3.02-3.16
Pt: 0.0000 0.0000 0.5000  8 Tb 3.05-3.09

Output
Space-group type = P-3m1, No. 164
DOS(E_F) = 4.5 states/eV/f.u.
Energy of formation from the pure elements = -0.65 eV per atom
Theoretical density = 9.91 g/cm³

Pm2GeCl: optimized geometry, PBE.

Cell lengths 4.1387, 4.1387, 7.4283 Å; angles 90.00, 90.00, 120.00 degrees
Last column: nearest neighbours and their distance in Å.
Element x y z (fractional)
Pm: 0.3333 0.6667 0.2816  3 Ge 2.89, 3 Cl 3.18
Pm: 0.6667 0.3333 0.7184  3 Ge 2.89, 3 Cl 3.18
Ge: 0.0000 0.0000 0.5000  6 Pm 2.89
Cl: 0.0000 0.0000 0.0000  6 Pm 3.18

Output
Uncorrected formation energy = -1.1623 eV/atom
Energy above the lowest structure with this stoichiometry = 90.6 meV/atom
Space-group type = P-3m1, No. 164
DOS(E_F) = 2.0 states/eV/f.u.
Theoretical density = 6.00 g/cm³

Li12Cd6Ga: optimized geometry, PBE.

Cell lengths 7.1337, 7.1337, 7.1337 Å; angles 91.06, 91.06, 91.06 degrees
Last column: nearest neighbours and their distance in Å.
Element x y z (fractional)
Li: 0.0287 0.3013 0.9370  4 Cd 2.81-2.91, 4 Li 2.88-3.00
Li: 0.0630 0.9713 0.6987  4 Cd 2.81-2.91, 4 Li 2.88-3.00
Li: 0.1320 0.3515 0.4626  1 Ga 2.82, 4 Li 2.88-2.97, 5 Cd 2.91-3.14
Li: 0.3013 0.9370 0.0287  4 Cd 2.81-2.91, 4 Li 2.88-3.00
Li: 0.3515 0.4626 0.1320  1 Ga 2.82, 4 Li 2.88-2.97, 5 Cd 2.91-3.14
Li: 0.4626 0.1320 0.3515  1 Ga 2.82, 4 Li 2.88-2.97, 5 Cd 2.91-3.14
Li: 0.5374 0.8680 0.6485  1 Ga 2.82, 4 Li 2.88-2.97, 5 Cd 2.91-3.14
Li: 0.6485 0.5374 0.8680  1 Ga 2.82, 4 Li 2.88-2.97, 5 Cd 2.91-3.14
Li: 0.6987 0.0630 0.9713  4 Cd 2.81-2.91, 4 Li 2.88-3.00
Li: 0.8680 0.6485 0.5374  1 Ga 2.82, 4 Li 2.88-2.97, 5 Cd 2.91-3.14
Li: 0.9370 0.0287 0.3013  4 Cd 2.81-2.91, 4 Li 2.88-3.00
Li: 0.9713 0.6987 0.0630  4 Cd 2.81-2.91, 4 Li 2.88-3.00
Cd: 0.2228 0.7748 0.3827  9 Li 2.81-3.14, 1 Ga 2.93, 2 Cd 3.05
Cd: 0.2252 0.6173 0.7772  9 Li 2.81-3.14, 1 Ga 2.93, 2 Cd 3.05
Cd: 0.3827 0.2228 0.7748  9 Li 2.81-3.14, 1 Ga 2.93, 2 Cd 3.05
Cd: 0.6173 0.7772 0.2252  9 Li 2.81-3.14, 1 Ga 2.93, 2 Cd 3.05
Cd: 0.7748 0.3827 0.2228  9 Li 2.81-3.14, 1 Ga 2.93, 2 Cd 3.05
Cd: 0.7772 0.2252 0.6173  9 Li 2.81-3.14, 1 Ga 2.93, 2 Cd 3.05
Ga: 0.5000 0.5000 0.5000  6 Li 2.82, 6 Cd 2.93

Output
Space-group type = R-3, No. 148
DOS(E_F) = 5.4 states/eV/f.u.
Energy of formation from the pure elements = -0.19 eV per atom
Theoretical density = 3.79 g/cm³

PmH2Br: optimized geometry, PBE.

Cell lengths 3.2487, 3.2487, 6.0555 Å; angles 90.00, 90.00, 90.00 degrees
Last column: nearest neighbours and their distance in Å.
Element x y z (fractional)
Pm: 0.0000 0.0000 0.0000  8 H 2.50
H: 0.5000 0.5000 0.1615  1 H 1.96
H: 0.5000 0.5000 0.8385  1 H 1.96
Br: 0.0000 0.0000 0.5000  2 Pm 3.03, 8 H 3.08, 4 Br 3.25

Output
Energy above the lowest structure with this stoichiometry = 774.5 meV/atom
Space-group type = P4/mmm, No. 123
DOS(E_F) = 1.8 states/eV/f.u.
Theoretical density = 5.90 g/cm³

Tb5Sm4Cd: optimized geometry, PBE.

Cell lengths 4.1361, 4.1361, 18.4241 Å; angles 90.00, 90.00, 90.00 degrees
Last column: nearest neighbours and their distance in Å.
Element x y z (fractional)
Tb: 0.0000 0.0000 0.0000  8 Sm 3.47, 2 Tb 3.77
Tb: 0.0000 0.0000 0.2045  8 Sm 3.42-3.49, 2 Tb 3.77
Tb: 0.0000 0.0000 0.4092  1 Tb 3.35, 4 Cd 3.37, 4 Sm 3.54
Tb: 0.0000 0.0000 0.5908  1 Tb 3.35, 4 Cd 3.37, 4 Sm 3.54
Tb: 0.0000 0.0000 0.7955  8 Sm 3.42-3.49, 2 Tb 3.77
Sm: 0.5000 0.5000 0.1012  8 Tb 3.47-3.49, 2 Sm 3.67-3.73
Sm: 0.5000 0.5000 0.3004  8 Tb 3.42-3.54, 1 Sm 3.67, 1 Cd 3.68
Sm: 0.5000 0.5000 0.6996  8 Tb 3.42-3.54, 1 Sm 3.67, 1 Cd 3.68
Sm: 0.5000 0.5000 0.8988  8 Tb 3.47-3.49, 2 Sm 3.67-3.73
Cd: 0.5000 0.5000 0.5000  8 Tb 3.37, 2 Sm 3.68

Output
Energy above the lowest structure with this stoichiometry = 0.0 meV/atom
Space-group type = P4/mmm, No. 123
DOS(E_F) = 17.4 states/eV/f.u.
Energy of formation from the pure elements = 0.05 eV per atom
Theoretical density = 7.95 g/cm³

Ca2ScOs: optimized geometry, PBE.

Cell lengths 5.8403, 10.2780, 3.1738 Å; angles 90.00, 107.66, 90.00 degrees
Last column: nearest neighbours and their distance in Å.
Element x y z (fractional)
Ca: 0.2500 0.2500 0.0000  4 Ca 2.92-3.17, 2 Sc 3.14, 2 Os 3.14
Ca: 0.2500 0.7500 0.0000  4 Ca 2.92-3.17, 2 Sc 3.14, 2 Os 3.14
Ca: 0.7500 0.2500 0.0000  4 Ca 2.92-3.17, 2 Os 3.14, 2 Sc 3.14
Ca: 0.7500 0.7500 0.0000  4 Ca 2.92-3.17, 2 Os 3.14, 2 Sc 3.14
Sc: 0.0000 0.0000 0.5000  2 Os 2.92, 4 Ca 3.14, 2 Sc 3.17
Sc: 0.5000 0.5000 0.5000  2 Os 2.92, 4 Ca 3.14, 2 Sc 3.17
Os: 0.0000 0.5000 0.5000  2 Sc 2.92, 4 Ca 3.14, 2 Os 3.17
Os: 0.5000 0.0000 0.5000  2 Sc 2.92, 4 Ca 3.14, 2 Os 3.17

Output
Energy above the lowest structure with this stoichiometry = 514.1 meV/atom
Space-group type = C2/m, No. 12
DOS(E_F) = 3.9 states/eV/f.u.
Energy of formation from the pure elements = 0.54 eV per atom
Theoretical density = 5.77 g/cm³

LaTb3Hg4: optimized geometry, PBE.

Cell lengths 5.3160, 5.3160, 7.6584 Å; angles 90.00, 90.00, 90.00 degrees
Last column: nearest neighbours and their distance in Å.
Element x y z (fractional)
La: 0.0000 0.0000 0.0000  8 Hg 3.34
Tb: 0.0000 0.0000 0.5000  8 Hg 3.22
Tb: 0.5000 0.5000 0.0000  8 Hg 3.34
Tb: 0.5000 0.5000 0.5000  8 Hg 3.22
Hg: 0.0000 0.5000 0.2631  6 Tb 3.22-3.34, 2 La 3.34
Hg: 0.0000 0.5000 0.7369  6 Tb 3.22-3.34, 2 La 3.34
Hg: 0.5000 0.0000 0.2631  6 Tb 3.22-3.34, 2 La 3.34
Hg: 0.5000 0.0000 0.7369  6 Tb 3.22-3.34, 2 La 3.34

Output
Space-group type = P4/mmm, No. 123
DOS(E_F) = 9.2 states/eV/f.u.
Energy of formation from the pure elements = -0.47 eV per atom
Theoretical density = 10.88 g/cm³

> theoretical density of number 7 (PmH2Br)?

5.90 g/cm³

> The highest theoretical density belongs to which entry?

Tl2IrSe